DFT (GGA+U) results for a relaxed VCuO2 crystal. Values from VASP.

Output
M_tot, μB/cell: 4.00
Electronic total energy, eV per atom: -6.6823
Symmetry: No. 8

Quantum ESPRESSO input file:
```
&SYSTEM
  ibrav = 0, nat = 8, ntyp = 3
/
ATOMIC_SPECIES
Cu 63.55 Cu.upf
O 16.00 O.upf
V 50.94 V.upf
CELL_PARAMETERS angstrom
-3.220 -13.490 -3.138
1.019 -5.580 0.153
-0.866 4.855 2.806
ATOMIC_POSITIONS angstrom
Cu -0.456 -5.197 0.323
Cu -0.705 -2.336 1.036
O -2.066 -15.610 -2.144
O -2.512 -2.759 1.026
O -0.830 -10.507 -0.958
O -3.702 -7.806 -0.149
V -2.206 -9.130 -0.550
V -2.262 -11.856 -1.215
```